The following is a DFT calculation (PBE) of PrErCu after structural relaxation. Values from VASP.

Quantum ESPRESSO input file:
```
&SYSTEM
  ibrav = 0, nat = 3, ntyp = 3
/
ATOMIC_SPECIES
Pr 140.91 Pr.upf
Er 167.26 Er.upf
Cu 63.55 Cu.upf
CELL_PARAMETERS angstrom
4.785 0.000 0.000
-2.393 4.144 0.000
0.000 0.000 3.987
ATOMIC_POSITIONS crystal
Pr 0.000 0.000 0.000
Er 0.667 0.333 0.491
Cu 0.333 0.667 0.571
```

Computed properties:
SG: P3m1 (156)
ΔE to the lowest computed polymorph (eV/atom): 0.174
ρ (kg/m³): 7805
ΔH_f (0 K) (eV per atom): 0.05
Total magnetic moment (μB per cell): 0.0